A plane-wave DFT calculation with PBE was carried out for a relaxed structure of Ta2TcCl.

Unit cell a=3.0535 b=4.4845 c=9.6731 alpha=90.00 beta=90.00 gamma=90.00
Last column: nearest neighbours and their distance in Å.
Space group Imm2 (No. 44)
Unique sites:
Ta 0.0000 0.0000 0.0000 x2  4 Cl 2.74, 2 Tc 2.79, 2 Ta 3.05
Ta 0.0000 0.5000 0.2241 x2  4 Tc 2.72, 2 Cl 2.95
Tc 0.0000 0.5000 0.7411 x2  2 Cl 2.64, 6 Ta 2.72-2.79
Cl 0.0000 0.0000 0.4632 x2  2 Tc 2.64, 6 Ta 2.74-2.95

Output
E_form (uncorrected): 0.383 eV per atom
Energy above the most stable polymorph in this dataset: 507 meV/atom
Uncorrected energy: -8.596 eV per atom
DOS at the Fermi energy: 0.9253 states/eV/atom


A plane-wave DFT calculation with PBE was carried out for a relaxed structure of TaTcCl2.

Unit cell a=2.9942 b=2.9942 c=31.6729 alpha=90.00 beta=90.00 gamma=120.00
Last column: nearest neighbours and their distance in Å.
Space group R-3m (No. 166, hexagonal axes)
Unique sites:
Ta 0.0000 0.0000 0.0000 x3  6 Cl 2.53
Tc 0.0000 0.0000 0.5000 x3  6 Tc 2.99
Cl 0.0000 0.0000 0.2751 x6  3 Ta 2.53

Output
E_form (uncorrected): 0.280 eV per atom
Energy above the most stable polymorph in this dataset: 781 meV/atom
Uncorrected energy: -6.198 eV per atom
DOS at the Fermi energy: 0.5507 states/eV/atom


A plane-wave DFT calculation with PBE was carried out for a relaxed structure of TaTcCl3.

Unit cell a=4.7127 b=4.7127 c=4.7127 alpha=90.00 beta=90.00 gamma=90.00
Last column: nearest neighbours and their distance in Å.
Space group Pm-3m (No. 221)
Unique sites:
Ta 0.0000 0.0000 0.0000 x1  12 Cl 3.33
Tc 0.5000 0.5000 0.5000 x1  6 Cl 2.36
Cl 0.0000 0.5000 0.5000 x3  2 Tc 2.36

Output
E_form (uncorrected): 1.145 eV per atom
Uncorrected energy: -4.407 eV per atom
DOS at the Fermi energy: 1.9363 states/eV/atom